Record 1
SCAN Sr2MgSi, single point on PBEsol structure; crystal system = cubic; SG = No. 216; ΔE_f (raw) = 0.22 eV/atom; E_tot = -14.669 eV per atom
1.0
-2.779 -1.035 -4.582
-4.855 -2.479 0.254
-4.552 2.794 -1.121
Mg Si Sr
1 1 2
Direct
0.500 0.500 0.500 Mg
0.250 0.250 0.250 Si
0.000 0.000 0.000 Sr
0.750 0.750 0.750 Sr

=====

Record 2
SCAN MgTa2TlSi, single point on PBEsol structure; crystal system = tetragonal; SG = No. 123; ΔE_f (raw) = 1.86 eV/atom; E_tot = -42.242 eV per atom
1.0
-3.012 -3.292 -0.209
3.545 -3.270 0.413
-0.457 0.113 4.818
Mg Tl Si Ta
1 1 1 2
Direct
0.000 0.000 0.000 Mg
0.500 0.500 0.500 Tl
0.500 0.000 0.000 Si
0.000 0.000 0.500 Ta
0.000 0.500 0.000 Ta

=====

Please write out number 1 again, unchanged.
SCAN Sr2MgSi, single point on PBEsol structure; crystal system = cubic; SG = No. 216; ΔE_f (raw) = 0.22 eV/atom; E_tot = -14.669 eV per atom
1.0
-2.779 -1.035 -4.582
-4.855 -2.479 0.254
-4.552 2.794 -1.121
Mg Si Sr
1 1 2
Direct
0.500 0.500 0.500 Mg
0.250 0.250 0.250 Si
0.000 0.000 0.000 Sr
0.750 0.750 0.750 Sr

=====

Repeat the first record exactly.
SCAN Sr2MgSi, single point on PBEsol structure; crystal system = cubic; SG = No. 216; ΔE_f (raw) = 0.22 eV/atom; E_tot = -14.669 eV per atom
1.0
-2.779 -1.035 -4.582
-4.855 -2.479 0.254
-4.552 2.794 -1.121
Mg Si Sr
1 1 2
Direct
0.500 0.500 0.500 Mg
0.250 0.250 0.250 Si
0.000 0.000 0.000 Sr
0.750 0.750 0.750 Sr

=====

> The lowest E_tot belongs to which entry?

MgTa2TlSi

=====

> Number 1 is which compound?

Sr2MgSi